Record 1
# KLi2CN

KLi2CN after structural relaxation (PBE, Alexandria via LeMat-Bulk).

Summary:
Raw formation energy ... 2480.9 meV/atom
D(E_F) ... 1.98 states/eV/cell
V ... 186.0 Å³/f.u.

Lattice parameters (Å, degrees): 6.1175 4.9700 6.1175 90.00 90.00 90.00
Last column: magnetic moment on the atom in μB.
Atoms (fractional coordinates):
Li 0.0000 0.0000 0.5000  -0.06
Li 0.5000 0.0000 0.0000  -0.05
C 0.0000 0.5000 0.0000  1.06
K 0.0000 0.0000 0.0000  0.07
N 0.5000 0.5000 0.5000  1.54

---

Record 2
# KLi2CN2

KLi2CN2 after structural relaxation (PBE, Alexandria via LeMat-Bulk).

Summary:
Raw formation energy ... -357.6 meV/atom
D(E_F) ... 1.90 states/eV/cell
V ... 116.6 Å³/f.u.

Lattice parameters (Å, degrees): 3.2951 4.7816 14.8019 90.00 90.00 90.00
Atoms (fractional coordinates):
N 0.0000 0.9967 0.0838
N 0.0000 0.0033 0.9162
N 0.5000 0.5033 0.5838
N 0.5000 0.4967 0.4162
K 0.5000 0.5000 0.0000
K 0.0000 0.0000 0.5000
Li 0.5000 0.9972 0.1650
Li 0.0000 0.4972 0.3350
Li 0.0000 0.5028 0.6650
Li 0.5000 0.0028 0.8350
C 0.0000 0.0000 0.0000
C 0.5000 0.5000 0.5000

---

Record 3
# K3LiC2O6

K3LiC2O6 after structural relaxation (PBE, Alexandria via LeMat-Bulk).

Summary:
Raw formation energy ... -1749.4 meV/atom
D(E_F) ... 0.00 states/eV/cell
V ... 177.8 Å³/f.u.

Lattice parameters (Å, degrees): 5.5203 5.5203 6.7366 90.00 90.00 120.00
Atoms (fractional coordinates):
O 0.6066 0.8033 0.2876
O 0.3934 0.1967 0.7124
O 0.8033 0.1967 0.7124
O 0.1967 0.8033 0.2876
O 0.1967 0.3934 0.2876
O 0.8033 0.6066 0.7124
K 0.3333 0.6667 0.7083
K 0.0000 0.0000 0.0000
K 0.6667 0.3333 0.2917
C 0.6667 0.3333 0.7138
C 0.3333 0.6667 0.2862
Li 0.0000 0.0000 0.5000

---

Record 4
# KLi2C2O6

KLi2C2O6 after structural relaxation (PBE, Alexandria via LeMat-Bulk).

Summary:
Raw formation energy ... -1668.8 meV/atom
D(E_F) ... 3.89 states/eV/cell
V ... 147.6 Å³/f.u.

Lattice parameters (Å, degrees): 5.1467 6.5678 5.1724 111.84 91.15 66.90
Last column: magnetic moment on the atom in μB.
Atoms (fractional coordinates):
O 0.1233 0.7553 0.5589  0.16
O 0.8617 0.4194 0.1398  0.12
O 0.5684 0.2411 0.1334  0.16
O 0.1383 0.5806 0.8602  0.12
O 0.8767 0.2447 0.4411  0.16
O 0.4316 0.7589 0.8666  0.16
C 0.2298 0.6990 0.7632  -0.01
C 0.7702 0.3010 0.2368  -0.01
Li 0.1929 0.4989 0.1901  0.00
Li 0.8071 0.5011 0.8099  0.00
K 0.5000 0.0000 0.5000  0.00

---

Record 5
# KLi2CS

KLi2CS after structural relaxation (PBE, Alexandria via LeMat-Bulk).

Summary:
Raw formation energy ... 1674.1 meV/atom
D(E_F) ... 3.28 states/eV/cell
V ... 207.2 Å³/f.u.

Lattice parameters (Å, degrees): 6.2577 5.2908 6.2577 90.00 90.00 90.00
Last column: magnetic moment on the atom in μB.
Atoms (fractional coordinates):
S 0.0000 0.5000 0.0000  0.11
C 0.5000 0.5000 0.5000  1.07
Li 0.5000 0.0000 0.0000  0.01
Li 0.0000 0.0000 0.5000  0.02
K 0.0000 0.0000 0.0000  0.01

---

Record 6
# KLiTcC2

KLiTcC2 after structural relaxation (PBE, Alexandria via LeMat-Bulk).

Summary:
DFT formation energy ... 2.57 eV per atom
D(E_F) ... 3.54 states/eV/cell
V ... 72.9 Å³/f.u.

Lattice parameters (Å, degrees): 4.1202 4.2960 4.1202 90.00 90.00 90.00
Last column: magnetic moment on the atom in μB.
Atoms (fractional coordinates):
Li 0.0000 0.0000 0.0000  -0.01
C 0.5000 0.0000 0.0000  -0.09
C 0.0000 0.0000 0.5000  -0.07
Tc 0.0000 0.5000 0.0000  2.56
K 0.5000 0.5000 0.5000  0.04

---

Record 7
# KLiZr2C

KLiZr2C after structural relaxation (PBE, Alexandria via LeMat-Bulk).

Summary:
DFT formation energy ... 2.69 eV per atom
D(E_F) ... 5.51 states/eV/cell
V ... 93.8 Å³/f.u.

Lattice parameters (Å, degrees): 4.9306 3.8583 4.9306 90.00 90.00 90.00
Last column: magnetic moment on the atom in μB.
Atoms (fractional coordinates):
Li 0.0000 0.5000 0.0000  0.00
C 0.5000 0.5000 0.5000  0.00
K 0.0000 0.0000 0.0000  0.19
Zr 0.0000 0.0000 0.5000  0.49
Zr 0.5000 0.0000 0.0000  0.24

---

Record 8
# K2LuPCO7

K2LuPCO7 after structural relaxation (PBE, Alexandria via LeMat-Bulk).

Summary:
Raw formation energy ... -2404.3 meV/atom
D(E_F) ... 0.00 states/eV/cell
V ... 203.6 Å³/f.u.

Lattice parameters (Å, degrees): 7.0207 5.7807 10.0335 90.50 90.00 90.00
Atoms (fractional coordinates):
Lu 0.2500 0.2117 0.3725
Lu 0.7500 0.7883 0.6275
C 0.2500 0.2616 0.1056
C 0.7500 0.7384 0.8944
O 0.5673 0.2101 0.3581
O 0.7500 0.5638 0.8071
O 0.2500 0.0565 0.1617
O 0.2500 0.2927 0.9817
O 0.2500 0.4527 0.5396
O 0.7500 0.5473 0.4604
O 0.7500 0.7073 0.0183
O 0.4327 0.7899 0.6419
O 0.2500 0.4362 0.1929
O 0.2500 0.8476 0.4270
O 0.7500 0.1524 0.5730
O 0.0673 0.7899 0.6419
O 0.9327 0.2101 0.3581
O 0.7500 0.9435 0.8383
P 0.2500 0.7208 0.5642
P 0.7500 0.2792 0.4358
K 0.0159 0.2520 0.7821
K 0.9841 0.7480 0.2179
K 0.4841 0.2520 0.7821
K 0.5159 0.7480 0.2179

---

Record 9
# KMgC2

KMgC2 after structural relaxation (PBE, Alexandria via LeMat-Bulk).

Summary:
DFT formation energy ... 1.69 eV per atom
D(E_F) ... 3.30 states/eV/cell
V ... 67.9 Å³/f.u.

Lattice parameters (Å, degrees): 4.2601 4.2601 8.0671 74.69 74.69 90.00
Atoms (fractional coordinates):
Mg 0.2500 0.7500 0.5000
Mg 0.5000 0.5000 0.0000
C 0.3750 0.6250 0.2500
C 0.8750 0.6250 0.7500
C 0.3750 0.1250 0.2500
C 0.3750 0.6250 0.7500
K 0.0000 0.0000 0.0000
K 0.7500 0.2500 0.5000

---

Record 10
# KMg2C

KMg2C after structural relaxation (PBE, Alexandria via LeMat-Bulk).

Summary:
DFT formation energy ... 0.48 eV per atom
D(E_F) ... 0.78 states/eV/cell
V ... 115.1 Å³/f.u.

Lattice parameters (Å, degrees): 6.8749 6.8749 6.8810 60.03 60.03 90.00
Atoms (fractional coordinates):
K 0.0000 0.0000 0.0000
K 0.7500 0.2500 0.5000
Mg 0.3748 0.1250 0.2500
Mg 0.3752 0.6250 0.2500
Mg 0.8750 0.6248 0.7500
Mg 0.3750 0.6252 0.7500
C 0.2500 0.7500 0.5000
C 0.5000 0.5000 0.0000

---

Record 11
# K3MgC

K3MgC after structural relaxation (PBE, Alexandria via LeMat-Bulk).

Summary:
Energy relative to the lowest polymorph listed for this composition ... 0.000 eV/atom
DFT formation energy ... 0.97 eV per atom
D(E_F) ... 2.42 states/eV/cell
V ... 205.4 Å³/f.u.

Lattice parameters (Å, degrees): 5.9006 5.9006 5.9006 90.00 90.00 90.00
Last column: magnetic moment on the atom in μB.
Atoms (fractional coordinates):
Mg 0.5000 0.5000 0.5000  -0.02
C 0.0000 0.0000 0.0000  0.90
K 0.5000 0.0000 0.0000  0.01
K 0.0000 0.5000 0.0000  0.01
K 0.0000 0.0000 0.5000  0.01

---

Record 12
# KMg6C

KMg6C after structural relaxation (PBE, Alexandria via LeMat-Bulk).

Summary:
Energy relative to the lowest polymorph listed for this composition ... 0.040 eV/atom
DFT formation energy ... 0.37 eV per atom
D(E_F) ... 3.53 states/eV/cell
V ... 204.4 Å³/f.u.

Lattice parameters (Å, degrees): 8.6202 8.6202 3.1531 90.00 90.00 119.26
Atoms (fractional coordinates):
C 0.3507 0.6493 0.5000
Mg 0.2568 0.1048 0.5000
Mg 0.6041 0.3959 0.0000
Mg 0.5679 0.7408 0.0000
Mg 0.8952 0.7432 0.5000
Mg 0.2416 0.7584 0.0000
Mg 0.2592 0.4321 0.0000
K 0.8245 0.1755 0.5000

---

Record 13
# K2MgC

K2MgC after structural relaxation (PBE, Alexandria via LeMat-Bulk).

Summary:
Energy relative to the lowest polymorph listed for this composition ... 0.000 eV/atom
DFT formation energy ... 0.75 eV per atom
D(E_F) ... 2.82 states/eV/cell
V ... 149.5 Å³/f.u.

Lattice parameters (Å, degrees): 11.9566 11.9566 8.7095 46.65 46.65 90.00
Atoms (fractional coordinates):
Mg 0.0000 0.0000 0.0000
Mg 0.7500 0.2500 0.5000
K 0.3750 0.5742 0.7500
K 0.4258 0.1250 0.2500
K 0.8750 0.6758 0.7500
K 0.3242 0.6250 0.2500
C 0.5000 0.5000 0.0000
C 0.2500 0.7500 0.5000

---

Record 14
# KMgC

KMgC after structural relaxation (PBE, Alexandria via LeMat-Bulk).

Summary:
Energy relative to the lowest polymorph listed for this composition ... 0.017 eV/atom
DFT formation energy ... 0.26 eV per atom
D(E_F) ... 2.19 states/eV/cell
V ... 92.6 Å³/f.u.

Lattice parameters (Å, degrees): 6.8077 4.1676 14.5346 90.00 116.02 90.00
Atoms (fractional coordinates):
K 0.8564 0.5000 0.1015
K 0.8564 0.0000 0.6015
K 0.1436 0.0000 0.3985
K 0.1436 0.5000 0.8985
C 0.0907 0.5000 0.5391
C 0.9093 0.0000 0.9609
C 0.9093 0.5000 0.4609
C 0.0907 0.0000 0.0391
Mg 0.5914 0.5000 0.3317
Mg 0.4086 0.5000 0.6683
Mg 0.5914 0.0000 0.8317
Mg 0.4086 0.0000 0.1683

---

Record 15
# K2MgC

K2MgC after structural relaxation (PBE, Alexandria via LeMat-Bulk).

Summary:
Energy relative to the lowest polymorph listed for this composition ... 0.676 eV/atom
DFT formation energy ... 1.42 eV per atom
D(E_F) ... 2.20 states/eV/cell
V ... 130.6 Å³/f.u.

Lattice parameters (Å, degrees): 5.6948 5.6948 5.6948 60.00 60.00 60.00
Last column: magnetic moment on the atom in μB.
Atoms (fractional coordinates):
K 0.7500 0.7500 0.7500  0.01
K 0.2500 0.2500 0.2500  0.01
Mg 0.5000 0.5000 0.5000  0.01
C 0.0000 0.0000 0.0000  0.87

---

Record 16
# KMgC

KMgC after structural relaxation (PBE, Alexandria via LeMat-Bulk).

Summary:
Energy relative to the lowest polymorph listed for this composition ... 0.087 eV/atom
DFT formation energy ... 0.33 eV per atom
D(E_F) ... 2.45 states/eV/cell
V ... 83.5 Å³/f.u.

Lattice parameters (Å, degrees): 3.5061 6.8271 7.4358 75.34 76.44 89.97
Atoms (fractional coordinates):
Mg 0.8810 0.3792 0.3596
Mg 0.2604 0.9983 0.5972
C 0.3428 0.5653 0.4357
C 0.3088 0.7218 0.4997
K 0.6531 0.4751 0.8124
K 0.9742 0.9093 0.1635

---

Record 17
# KMgC

KMgC after structural relaxation (PBE, Alexandria via LeMat-Bulk).

Summary:
Energy relative to the lowest polymorph listed for this composition ... 0.070 eV/atom
DFT formation energy ... 0.32 eV per atom
D(E_F) ... 3.70 states/eV/cell
V ... 86.0 Å³/f.u.

Lattice parameters (Å, degrees): 6.7452 5.0107 10.6254 90.00 106.67 90.00
Atoms (fractional coordinates):
Mg 0.7994 0.0000 0.6028
Mg 0.7994 0.5000 0.1028
Mg 0.6964 0.5000 0.3802
Mg 0.6964 0.0000 0.8802
K 0.4193 0.5000 0.6461
K 0.4193 0.0000 0.1461
K 0.0917 0.5000 0.8765
K 0.0917 0.0000 0.3765
C 0.9552 0.8728 0.0760
C 0.9552 0.3728 0.5760
C 0.9552 0.1272 0.0760
C 0.9552 0.6272 0.5760

---

Record 18
# KMgC

KMgC after structural relaxation (PBE, Alexandria via LeMat-Bulk).

Summary:
Energy relative to the lowest polymorph listed for this composition ... 0.073 eV/atom
DFT formation energy ... 0.32 eV per atom
D(E_F) ... 1.43 states/eV/cell
V ... 94.2 Å³/f.u.

Lattice parameters (Å, degrees): 7.0200 3.9184 7.2080 90.00 108.23 90.00
Atoms (fractional coordinates):
K 0.2124 0.5000 0.7657
K 0.7876 0.5000 0.2343
Mg 0.6675 0.0000 0.6965
Mg 0.3325 0.0000 0.3035
C 0.4567 0.0000 0.0643
C 0.5433 0.0000 0.9357

---

Record 19
# KMgC

KMgC after structural relaxation (PBE, Alexandria via LeMat-Bulk).

Summary:
Energy relative to the lowest polymorph listed for this composition ... 0.000 eV/atom
DFT formation energy ... 0.25 eV per atom
D(E_F) ... 3.55 states/eV/cell
V ... 79.9 Å³/f.u.

Lattice parameters (Å, degrees): 7.3872 5.2177 9.0861 90.00 114.13 90.00
Atoms (fractional coordinates):
C 0.0938 0.0000 0.5312
C 0.9062 0.0000 0.4688
C 0.0938 0.5000 0.0312
C 0.9062 0.5000 0.9688
Mg 0.4247 0.5000 0.1409
Mg 0.5753 0.5000 0.8591
Mg 0.4247 0.0000 0.6409
Mg 0.5753 0.0000 0.3591
K 0.8428 0.0000 0.1149
K 0.8428 0.5000 0.6149
K 0.1572 0.0000 0.8851
K 0.1572 0.5000 0.3851

---

Record 20
# KMg3C

KMg3C after structural relaxation (PBE, Alexandria via LeMat-Bulk).

Summary:
Energy relative to the lowest polymorph listed for this composition ... 1.571 eV/atom
DFT formation energy ... 2.16 eV per atom
D(E_F) ... 18.94 states/eV/cell
V ... 322.3 Å³/f.u.

Lattice parameters (Å, degrees): 6.8561 6.8561 6.8561 90.00 90.00 90.00
Last column: magnetic moment on the atom in μB.
Atoms (fractional coordinates):
C 0.5000 0.5000 0.5000  1.08
Mg 0.5000 0.0000 0.0000  0.01
Mg 0.0000 0.0000 0.5000  0.00
Mg 0.0000 0.5000 0.0000  0.01
K 0.0000 0.0000 0.0000  0.01

---

Record 21
# KMgC

KMgC after structural relaxation (PBE, Alexandria via LeMat-Bulk).

Summary:
Energy relative to the lowest polymorph listed for this composition ... 0.057 eV/atom
DFT formation energy ... 0.30 eV per atom
D(E_F) ... 4.03 states/eV/cell
V ... 97.6 Å³/f.u.

Lattice parameters (Å, degrees): 5.4505 4.6881 15.2898 90.00 91.61 90.00
Atoms (fractional coordinates):
K 0.2239 0.5000 0.1620
K 0.2239 0.0000 0.6620
K 0.7761 0.5000 0.8380
K 0.7761 0.0000 0.3380
Mg 0.2524 0.5000 0.4593
Mg 0.2524 0.0000 0.9593
Mg 0.7476 0.5000 0.5407
Mg 0.7476 0.0000 0.0407
C 0.5000 0.3644 0.0000
C 0.5000 0.1356 0.5000
C 0.5000 0.6356 0.0000
C 0.5000 0.8644 0.5000

---

Record 22
# KMg6C

KMg6C after structural relaxation (PBE, Alexandria via LeMat-Bulk).

Summary:
Energy relative to the lowest polymorph listed for this composition ... 0.000 eV/atom
DFT formation energy ... 0.33 eV per atom
D(E_F) ... 3.81 states/eV/cell
V ... 193.0 Å³/f.u.

Lattice parameters (Å, degrees): 8.1105 8.1105 3.3612 90.00 90.00 119.22
Last column: magnetic moment on the atom in μB.
Atoms (fractional coordinates):
Mg 0.3688 0.2919 0.5000  0.00
Mg 0.1971 0.4583 0.0000  0.00
Mg 0.7144 0.2856 0.0000  0.00
Mg 0.5417 0.8029 0.0000  0.00
Mg 0.7081 0.6312 0.5000  0.00
Mg 0.9125 0.0875 0.5000  0.00
K 0.1553 0.8447 0.0000  0.00
C 0.4022 0.5978 0.5000  0.07

---

Record 23
# KMgC

KMgC after structural relaxation (PBE, Alexandria via LeMat-Bulk).

Summary:
Energy relative to the lowest polymorph listed for this composition ... 0.066 eV/atom
DFT formation energy ... 0.31 eV per atom
V ... 77.0 Å³/f.u.

Lattice parameters (Å, degrees): 8.6982 3.7397 11.3952 90.00 123.85 90.00
Atoms (fractional coordinates):
K 0.3749 0.5000 0.1307
K 0.0972 0.5000 0.2688
K 0.0972 0.0000 0.7688
K 0.3749 0.0000 0.6307
C 0.0404 0.0000 0.0005
C 0.9126 0.5000 0.5246
C 0.9126 0.0000 0.0246
C 0.0404 0.5000 0.5005
Mg 0.8150 0.5000 0.8703
Mg 0.6770 0.5000 0.5472
Mg 0.6770 0.0000 0.0472
Mg 0.8150 0.0000 0.3703

---

Record 24
# KMg3C

KMg3C after structural relaxation (PBE, Alexandria via LeMat-Bulk).

Summary:
Energy relative to the lowest polymorph listed for this composition ... 0.000 eV/atom
DFT formation energy ... 0.58 eV per atom
D(E_F) ... 3.84 states/eV/cell
V ... 110.3 Å³/f.u.

Lattice parameters (Å, degrees): 4.7962 4.7962 4.7962 90.00 90.00 90.00
Atoms (fractional coordinates):
Mg 0.0000 0.0000 0.5000
Mg 0.5000 0.0000 0.0000
Mg 0.0000 0.5000 0.0000
K 0.5000 0.5000 0.5000
C 0.0000 0.0000 0.0000